## Li3TmMg12 (PBE)

Data for a relaxed structure of Li3TmMg12.

Cell lengths 4.4739, 4.4739, 18.1928 Å; angles 90.00, 90.00, 90.00 degrees
Fractional positions:
Li 0.0000 0.0000 0.0000
Li 0.0000 0.0000 0.2462
Li 0.0000 0.0000 0.7538
Tm 0.0000 0.0000 0.5000
Mg 0.0000 0.5000 0.1219
Mg 0.0000 0.5000 0.3674
Mg 0.0000 0.5000 0.6326
Mg 0.0000 0.5000 0.8781
Mg 0.5000 0.0000 0.1219
Mg 0.5000 0.0000 0.3674
Mg 0.5000 0.0000 0.6326
Mg 0.5000 0.0000 0.8781
Mg 0.5000 0.5000 0.0000
Mg 0.5000 0.5000 0.2425
Mg 0.5000 0.5000 0.5000
Mg 0.5000 0.5000 0.7575

Summary:
Crystal system: tetragonal
Total magnetization (Bohr magnetons per cell): 0.00
Calculated formation energy (eV per atom): -0.024
SG: P4/mmm

## Li2Y2TmMg5 (PBE)

Data for a relaxed structure of Li2Y2TmMg5.

Cell lengths 10.4963, 10.4963, 4.4341 Å; angles 90.00, 90.00, 90.00 degrees
Fractional positions:
Li 0.1151 0.3849 0.0000
Li 0.3849 0.8849 0.0000
Li 0.6151 0.1151 0.0000
Li 0.8849 0.6151 0.0000
Y 0.1797 0.6797 0.0000
Y 0.3203 0.1797 0.0000
Y 0.6797 0.8203 0.0000
Y 0.8203 0.3203 0.0000
Tm 0.0000 0.0000 0.0000
Tm 0.5000 0.5000 0.0000
Mg 0.0000 0.5000 0.5000
Mg 0.0642 0.2119 0.5000
Mg 0.2119 0.9358 0.5000
Mg 0.2881 0.4358 0.5000
Mg 0.4358 0.7119 0.5000
Mg 0.5000 0.0000 0.5000
Mg 0.5642 0.2881 0.5000
Mg 0.7119 0.5642 0.5000
Mg 0.7881 0.0642 0.5000
Mg 0.9358 0.7881 0.5000

Summary:
Crystal system: tetragonal
Total magnetization (Bohr magnetons per cell): 0.00
Calculated formation energy (eV per atom): -0.035
SG: P4/mbm

## LiYTmMg (PBE)

Data for a relaxed structure of LiYTmMg.

Cell lengths 5.2942, 5.2942, 5.2942 Å; angles 60.00, 60.00, 60.00 degrees
Fractional positions:
Li 0.0000 0.0000 0.0000
Y 0.7500 0.7500 0.7500
Tm 0.2500 0.2500 0.2500
Mg 0.5000 0.5000 0.5000

Summary:
Crystal system: cubic
Total magnetization (Bohr magnetons per cell): 0.01
Calculated formation energy (eV per atom): 0.044
SG: F-43m

## LiTmMgZr (PBE)

Data for a relaxed structure of LiTmMgZr.

Cell lengths 5.0526, 5.0526, 5.0526 Å; angles 60.00, 60.00, 60.00 degrees
Fractional positions:
Li 0.0000 0.0000 0.0000
Tm 0.7500 0.7500 0.7500
Mg 0.5000 0.5000 0.5000
Zr 0.2500 0.2500 0.2500

Summary:
Crystal system: cubic
Total magnetization (Bohr magnetons per cell): 0.00
Calculated formation energy (eV per atom): 0.182
SG: F-43m